# 1
# Si4Ru (PBE-GGA, optimized geometry)
data_Si4Ru
_chemical_formula_sum 'Si8 Ru2'
_cell_length_a 3.1949
_cell_length_b 3.1949
_cell_length_c 14.8003
_cell_angle_alpha 90.00
_cell_angle_beta 90.00
_cell_angle_gamma 90.00
_symmetry_space_group_name_H-M 'I 4/m m m'
_symmetry_Int_Tables_number 139
_symmetry_space_group_name_Hall '-I 4 2'
loop_
_atom_site_label
_atom_site_fract_x
_atom_site_fract_y
_atom_site_fract_z
Si1 0.0000 0.0000 0.0924
Si2 0.0000 0.5000 0.2500
Ru1 0.0000 0.0000 0.5000
# energy = -58.7 eV for the cell shown
# raw formation energy = 0.329 eV per atom

# 2
# Si3Ru (PBE-GGA, optimized geometry)
data_Si3Ru
_chemical_formula_sum 'Si6 Ru2'
_cell_length_a 3.9102
_cell_length_b 3.9102
_cell_length_c 7.0420
_cell_angle_alpha 90.00
_cell_angle_beta 90.00
_cell_angle_gamma 90.00
_symmetry_space_group_name_H-M 'I 4/m m m'
_symmetry_Int_Tables_number 139
_symmetry_space_group_name_Hall '-I 4 2'
loop_
_atom_site_label
_atom_site_fract_x
_atom_site_fract_y
_atom_site_fract_z
Si1 0.0000 0.0000 0.0000
Si2 0.0000 0.5000 0.2500
Ru1 0.0000 0.0000 0.5000
# energy = -49.9 eV for the cell shown
# raw formation energy = 0.143 eV per atom

# 3
# Si2Ru (PBE-GGA, optimized geometry)
data_Si2Ru
_chemical_formula_sum 'Si4 Ru2'
_cell_length_a 2.8687
_cell_length_b 2.8687
_cell_length_c 10.2157
_cell_angle_alpha 90.00
_cell_angle_beta 90.00
_cell_angle_gamma 90.00
_symmetry_space_group_name_H-M 'I 4/m m m'
_symmetry_Int_Tables_number 139
_symmetry_space_group_name_Hall '-I 4 2'
loop_
_atom_site_label
_atom_site_fract_x
_atom_site_fract_y
_atom_site_fract_z
Si1 0.0000 0.0000 0.1495
Ru1 0.0000 0.0000 0.5000
# energy = -40.6 eV for the cell shown
# raw formation energy = -0.065 eV per atom

# 4
# Si3Ru (PBE-GGA, optimized geometry)
data_Si3Ru
_chemical_formula_sum 'Si9 Ru3'
_cell_length_a 2.9968
_cell_length_b 2.9968
_cell_length_c 21.7301
_cell_angle_alpha 90.00
_cell_angle_beta 90.00
_cell_angle_gamma 120.00
_symmetry_space_group_name_H-M 'R -3 m'
_symmetry_Int_Tables_number 166
_symmetry_space_group_name_Hall '-R 3 2"'
loop_
_atom_site_label
_atom_site_fract_x
_atom_site_fract_y
_atom_site_fract_z
Si1 0.0000 0.0000 0.0000
Si2 0.0000 0.0000 0.2476
Ru1 0.0000 0.0000 0.5000
# energy = -77.2 eV for the cell shown
# raw formation energy = -0.051 eV per atom

# 5
# Si3Ru (PBE-GGA, optimized geometry)
data_Si3Ru
_chemical_formula_sum 'Si6 Ru2'
_cell_length_a 4.9748
_cell_length_b 7.1898
_cell_length_c 2.9703
_cell_angle_alpha 90.00
_cell_angle_beta 90.00
_cell_angle_gamma 90.00
_symmetry_space_group_name_H-M 'C m m m'
_symmetry_Int_Tables_number 65
_symmetry_space_group_name_Hall '-C 2 2'
loop_
_atom_site_label
_atom_site_fract_x
_atom_site_fract_y
_atom_site_fract_z
Si1 0.0000 0.0000 0.0000
Si2 0.2500 0.2500 0.5000
Ru1 0.0000 0.5000 0.0000
# energy = -50.9 eV for the cell shown
# raw formation energy = 0.019 eV per atom

# 6
# Si4Ru3 (PBE-GGA, optimized geometry)
data_Si4Ru3
_chemical_formula_sum 'Si4 Ru3'
_cell_length_a 5.2730
_cell_length_b 5.2730
_cell_length_c 4.1979
_cell_angle_alpha 90.00
_cell_angle_beta 90.00
_cell_angle_gamma 120.00
_symmetry_space_group_name_H-M 'P 6/m m m'
_symmetry_Int_Tables_number 191
_symmetry_space_group_name_Hall '-P 6 2'
loop_
_atom_site_label
_atom_site_fract_x
_atom_site_fract_y
_atom_site_fract_z
Si1 0.0000 0.0000 0.2454
Si2 0.3333 0.6667 0.5000
Ru1 0.0000 0.5000 0.0000
# energy = -48.5 eV for the cell shown
# raw formation energy = 0.140 eV per atom

# 7
# Si2Ru (PBE-GGA, optimized geometry)
data_Si2Ru
_chemical_formula_sum 'Si8 Ru4'
_cell_length_a 9.0826
_cell_length_b 2.9877
_cell_length_c 6.0732
_cell_angle_alpha 90.00
_cell_angle_beta 99.47
_cell_angle_gamma 90.00
_symmetry_space_group_name_H-M 'C 1 m 1'
_symmetry_Int_Tables_number 8
loop_
_symmetry_equiv_pos_as_xyz
'x,y,z'
'x,-y,z'
'x+1/2,y+1/2,z'
'x+1/2,-y+1/2,z'
loop_
_atom_site_label
_atom_site_fract_x
_atom_site_fract_y
_atom_site_fract_z
Si1 0.0000 0.0000 0.0000
Si2 0.0544 0.0000 0.6082
Si3 0.2339 0.5000 0.9434
Si4 0.3624 0.0000 0.2891
Ru1 0.1377 0.5000 0.2945
Ru2 0.3340 0.0000 0.6830
# energy = -82.7 eV for the cell shown
# raw formation energy = -0.181 eV per atom

# 8
# Si2Ru (PBE-GGA, optimized geometry)
data_Si2Ru
_chemical_formula_sum 'Si8 Ru4'
_cell_length_a 2.8675
_cell_length_b 2.8675
_cell_length_c 20.6938
_cell_angle_alpha 90.00
_cell_angle_beta 90.00
_cell_angle_gamma 90.00
_symmetry_space_group_name_H-M 'I 41/a m d'
_symmetry_Int_Tables_number 141
loop_
_symmetry_equiv_pos_as_xyz
'x,y,z'
'-x,-y,-z'
'-y+1/4,x+3/4,z+1/4'
'y+1/4,-x+3/4,-z+1/4'
'-x+1/2,-y,z+1/2'
'x+1/2,y,-z+1/2'
'y+1/4,-x+1/4,z+3/4'
'-y+1/4,x+1/4,-z+3/4'
'x,-y,-z'
'-x,y,z'
'-y+1/4,-x+1/4,-z+3/4'
'y+1/4,x+1/4,z+3/4'
'-x+1/2,y,-z+1/2'
'x+1/2,-y,z+1/2'
'y+1/4,x+3/4,-z+1/4'
'-y+1/4,-x+3/4,z+1/4'
'x+1/2,y+1/2,z+1/2'
'-x+1/2,-y+1/2,-z+1/2'
'-y+3/4,x+1/4,z+3/4'
'y+3/4,-x+1/4,-z+3/4'
'-x,-y+1/2,z'
'x,y+1/2,-z'
'y+3/4,-x+3/4,z+1/4'
'-y+3/4,x+3/4,-z+1/4'
'x+1/2,-y+1/2,-z+1/2'
'-x+1/2,y+1/2,z+1/2'
'-y+3/4,-x+3/4,-z+1/4'
'y+3/4,x+3/4,z+1/4'
'-x,y+1/2,-z'
'x,-y+1/2,z'
'y+3/4,x+1/4,-z+3/4'
'-y+3/4,-x+1/4,z+3/4'
loop_
_atom_site_label
_atom_site_fract_x
_atom_site_fract_y
_atom_site_fract_z
Si1 0.0000 0.2500 0.3022
Ru1 0.0000 0.2500 0.8750
# energy = -83.4 eV for the cell shown
# raw formation energy = -0.241 eV per atom

# 9
# Si2Ru (PBE-GGA, optimized geometry)
data_Si2Ru
_chemical_formula_sum 'Si8 Ru4'
_cell_length_a 5.6838
_cell_length_b 5.6838
_cell_length_c 5.6838
_cell_angle_alpha 90.00
_cell_angle_beta 90.00
_cell_angle_gamma 90.00
_symmetry_space_group_name_H-M 'F m -3 m'
_symmetry_Int_Tables_number 225
_symmetry_space_group_name_Hall '-F 4 2 3'
loop_
_atom_site_label
_atom_site_fract_x
_atom_site_fract_y
_atom_site_fract_z
Si1 0.2500 0.2500 0.2500
Ru1 0.0000 0.0000 0.0000
# energy = -83.4 eV for the cell shown
# raw formation energy = -0.240 eV per atom

# 10
# Si2Ru (PBE-GGA, optimized geometry)
data_Si2Ru
_chemical_formula_sum 'Si4 Ru2'
_cell_length_a 3.2478
_cell_length_b 3.2478
_cell_length_c 7.5618
_cell_angle_alpha 90.00
_cell_angle_beta 90.00
_cell_angle_gamma 90.00
_symmetry_space_group_name_H-M 'I 4/m m m'
_symmetry_Int_Tables_number 139
_symmetry_space_group_name_Hall '-I 4 2'
loop_
_atom_site_label
_atom_site_fract_x
_atom_site_fract_y
_atom_site_fract_z
Si1 0.0000 0.0000 0.1641
Ru1 0.0000 0.0000 0.5000
# energy = -41.7 eV for the cell shown
# raw formation energy = -0.240 eV per atom

# 11
# SiRu3 (PBE-GGA, optimized geometry)
data_SiRu3
_chemical_formula_sum 'Si1 Ru3'
_cell_length_a 2.8103
_cell_length_b 2.8103
_cell_length_c 7.9752
_cell_angle_alpha 90.00
_cell_angle_beta 90.00
_cell_angle_gamma 120.00
_symmetry_space_group_name_H-M 'P -6 m 2'
_symmetry_Int_Tables_number 187
_symmetry_space_group_name_Hall 'P -6 2'
loop_
_atom_site_label
_atom_site_fract_x
_atom_site_fract_y
_atom_site_fract_z
Si1 0.0000 0.0000 0.0000
Ru1 0.0000 0.0000 0.5000
Ru2 0.3333 0.6667 0.2301
# energy = -33.8 eV for the cell shown
# raw formation energy = -0.144 eV per atom

# 12
# SiRu5 (PBE-GGA, optimized geometry)
data_SiRu5
_chemical_formula_sum 'Si1 Ru5'
_cell_length_a 4.6864
_cell_length_b 4.6864
_cell_length_c 4.3172
_cell_angle_alpha 90.00
_cell_angle_beta 90.00
_cell_angle_gamma 120.00
_symmetry_space_group_name_H-M 'P -6 2 m'
_symmetry_Int_Tables_number 189
_symmetry_space_group_name_Hall 'P -6 -2'
loop_
_atom_site_label
_atom_site_fract_x
_atom_site_fract_y
_atom_site_fract_z
Si1 0.0000 0.0000 0.0000
Ru1 0.0000 0.6707 0.5000
Ru2 0.3333 0.6667 0.0000
# energy = -52.0 eV for the cell shown
# raw formation energy = -0.040 eV per atom